First-principles (GGA-PBE) data for a relaxed structure of Y4ZnSbN2, as listed in the Open Quantum Materials Database.

a b c (Å): 3.5595 3.5595 14.7193
angles (deg): 90.00 90.00 120.00
Space group P-6m2 (No. 187)
One atom of each set of equivalent atoms:
1 Y 0.0000 0.0000 0.1533 [2 per cell]
2 Y 0.6667 0.3333 0.3344 [2 per cell]
3 Zn 0.6667 0.3333 0.0000 [1 per cell]
4 Sb 0.0000 0.0000 0.5000 [1 per cell]
5 N 0.3333 0.6667 0.2496 [2 per cell]

Properties
final energy: -56.25 eV for the cell shown